No. 1
A relaxed La4Pr4Er crystal. Source: Alexandria via LeMat-Bulk, functional PBE-GGA.

Geometry as CIF:
```
data_La4Pr4Er
_chemical_formula_sum 'La4 Pr4 Er1'
_cell_length_a 8.263
_cell_length_b 8.263
_cell_length_c 8.263
_cell_angle_alpha 95.83
_cell_angle_beta 95.83
_cell_angle_gamma 142.84
_space_group_name_H-M_alt 'P 1'
_space_group_IT_number 1
loop_
_space_group_symop_operation_xyz
'x,y,z'
loop_
_atom_site_label
_atom_site_fract_x
_atom_site_fract_y
_atom_site_fract_z
La1 0.166 0.166 0.331
La2 0.166 0.834 0.000
La3 0.834 0.166 0.000
La4 0.834 0.834 0.669
Pr1 0.168 0.500 0.668
Pr2 0.500 0.168 0.668
Pr3 0.500 0.832 0.332
Pr4 0.832 0.500 0.332
Er1 0.500 0.500 0.000
```

## Properties
Space group: No. 139
DFT formation energy: 0.02 eV/atom
E_tot: -0.177 hartree per atom


No. 2
A relaxed LaSmAl2 crystal. Source: Alexandria via LeMat-Bulk, functional PBE-GGA.

Geometry as CIF:
```
data_LaSmAl2
_chemical_formula_sum 'La1 Sm1 Al2'
_cell_length_a 3.742
_cell_length_b 3.742
_cell_length_c 7.478
_cell_angle_alpha 90.00
_cell_angle_beta 90.00
_cell_angle_gamma 90.00
_space_group_name_H-M_alt 'P 1'
_space_group_IT_number 1
loop_
_space_group_symop_operation_xyz
'x,y,z'
loop_
_atom_site_label
_atom_site_fract_x
_atom_site_fract_y
_atom_site_fract_z
La1 0.000 0.000 0.000
Sm1 0.000 0.000 0.500
Al1 0.500 0.500 0.265
Al2 0.500 0.500 0.735
```

## Properties
Space group: No. 123
DFT formation energy: -0.37 eV/atom
E_tot: -0.171 hartree per atom


No. 3
A relaxed HOsPb2O6 crystal. Source: Alexandria via LeMat-Bulk, functional PBE-GGA.

Geometry as CIF:
```
data_HOsPb2O6
_chemical_formula_sum 'H1 Os1 Pb2 O6'
_cell_length_a 6.051
_cell_length_b 6.051
_cell_length_c 5.312
_cell_angle_alpha 114.27
_cell_angle_beta 114.27
_cell_angle_gamma 101.31
_space_group_name_H-M_alt 'P 1'
_space_group_IT_number 1
loop_
_space_group_symop_operation_xyz
'x,y,z'
loop_
_atom_site_label
_atom_site_fract_x
_atom_site_fract_y
_atom_site_fract_z
H1 0.000 0.000 0.000
Os1 0.299 0.299 0.675
Pb1 0.042 0.640 0.309
Pb2 0.640 0.042 0.309
O1 0.051 0.051 0.684
O2 0.075 0.486 0.681
O3 0.402 0.402 0.457
O4 0.486 0.075 0.681
O5 0.567 0.567 0.107
O6 0.978 0.978 0.164
```

## Properties
Space group: No. 8
E_tot: -0.229 hartree per atom


No. 4
A relaxed LiMgB4 crystal. Source: Alexandria via LeMat-Bulk, functional PBE-GGA.

Geometry as CIF:
```
data_LiMgB4
_chemical_formula_sum 'Li1 Mg1 B4'
_cell_length_a 4.116
_cell_length_b 4.116
_cell_length_c 4.116
_cell_angle_alpha 60.00
_cell_angle_beta 60.00
_cell_angle_gamma 60.00
_space_group_name_H-M_alt 'P 1'
_space_group_IT_number 1
loop_
_space_group_symop_operation_xyz
'x,y,z'
loop_
_atom_site_label
_atom_site_fract_x
_atom_site_fract_y
_atom_site_fract_z
Li1 0.000 0.000 0.000
Mg1 0.250 0.250 0.250
B1 0.100 0.633 0.633
B2 0.633 0.100 0.633
B3 0.633 0.633 0.100
B4 0.633 0.633 0.633
```

## Properties
Space group: No. 216
DFT formation energy: 0.57 eV/atom
E_tot: -0.164 hartree per atom


No. 5
A relaxed SrLa3Ru crystal. Source: Alexandria via LeMat-Bulk, functional PBE-GGA.

Geometry as CIF:
```
data_SrLa3Ru
_chemical_formula_sum 'Sr2 La6 Ru2'
_cell_length_a 8.132
_cell_length_b 5.743
_cell_length_c 9.054
_cell_angle_alpha 90.00
_cell_angle_beta 116.65
_cell_angle_gamma 90.00
_space_group_name_H-M_alt 'P 1'
_space_group_IT_number 1
loop_
_space_group_symop_operation_xyz
'x,y,z'
loop_
_atom_site_label
_atom_site_fract_x
_atom_site_fract_y
_atom_site_fract_z
Sr1 0.126 0.000 0.252
Sr2 0.874 0.000 0.748
La1 0.000 0.500 0.500
La2 0.265 0.500 0.000
La3 0.376 0.000 0.751
La4 0.500 0.500 0.500
La5 0.624 0.000 0.249
La6 0.735 0.500 0.000
Ru1 0.364 0.500 0.729
Ru2 0.636 0.500 0.271
```

## Properties
Space group: No. 10
Distance to the lowest polymorph of the same formula: 0.000 eV per atom
DFT formation energy: -0.18 eV/atom
E_tot: -0.196 hartree per atom


No. 6
A relaxed CaNbSb crystal. Source: Alexandria via LeMat-Bulk, functional PBE-GGA.

Geometry as CIF:
```
data_CaNbSb
_chemical_formula_sum 'Ca4 Nb4 Sb4'
_cell_length_a 9.317
_cell_length_b 3.607
_cell_length_c 9.509
_cell_angle_alpha 90.00
_cell_angle_beta 99.73
_cell_angle_gamma 90.00
_space_group_name_H-M_alt 'P 1'
_space_group_IT_number 1
loop_
_space_group_symop_operation_xyz
'x,y,z'
loop_
_atom_site_label
_atom_site_fract_x
_atom_site_fract_y
_atom_site_fract_z
Ca1 0.000 0.000 0.000
Ca2 0.058 0.000 0.392
Ca3 0.500 0.500 0.000
Ca4 0.558 0.500 0.392
Nb1 0.022 0.500 0.684
Nb2 0.310 0.500 0.573
Nb3 0.522 0.000 0.684
Nb4 0.810 0.000 0.573
Sb1 0.248 0.500 0.220
Sb2 0.261 0.000 0.798
Sb3 0.748 0.000 0.220
Sb4 0.761 0.500 0.798
```

## Properties
Space group: No. 8
E_form (uncorrected): -241 meV/atom
E_tot: -0.207 hartree per atom


No. 7
A relaxed GaCl4 crystal. Source: Alexandria via LeMat-Bulk, functional PBE-GGA.

Geometry as CIF:
```
data_GaCl4
_chemical_formula_sum 'Ga2 Cl8'
_cell_length_a 6.153
_cell_length_b 6.153
_cell_length_c 10.388
_cell_angle_alpha 90.44
_cell_angle_beta 90.44
_cell_angle_gamma 120.04
_space_group_name_H-M_alt 'P 1'
_space_group_IT_number 1
loop_
_space_group_symop_operation_xyz
'x,y,z'
loop_
_atom_site_label
_atom_site_fract_x
_atom_site_fract_y
_atom_site_fract_z
Ga1 0.168 0.832 0.000
Ga2 0.832 0.168 0.000
Cl1 0.134 0.496 0.868
Cl2 0.141 0.141 0.132
Cl3 0.396 0.396 0.425
Cl4 0.496 0.134 0.868
Cl5 0.504 0.866 0.132
Cl6 0.604 0.604 0.575
Cl7 0.859 0.859 0.868
Cl8 0.866 0.504 0.132
```

## Properties
Space group: No. 12
E_form (uncorrected): -830 meV/atom
E_tot: -0.107 hartree per atom


No. 8
A relaxed CdW2Br crystal. Source: Alexandria via LeMat-Bulk, functional PBE-GGA.

Geometry as CIF:
```
data_CdW2Br
_chemical_formula_sum 'Cd2 W4 Br2'
_cell_length_a 5.534
_cell_length_b 10.666
_cell_length_c 3.081
_cell_angle_alpha 90.00
_cell_angle_beta 122.01
_cell_angle_gamma 90.00
_space_group_name_H-M_alt 'P 1'
_space_group_IT_number 1
loop_
_space_group_symop_operation_xyz
'x,y,z'
loop_
_atom_site_label
_atom_site_fract_x
_atom_site_fract_y
_atom_site_fract_z
Cd1 0.000 0.000 0.000
Cd2 0.500 0.500 0.000
W1 0.250 0.250 0.000
W2 0.250 0.750 0.000
W3 0.750 0.250 0.000
W4 0.750 0.750 0.000
Br1 0.000 0.500 0.000
Br2 0.500 0.000 0.000
```

## Properties
Space group: No. 12
Distance to the lowest polymorph of the same formula: 0.754 eV per atom
E_form (uncorrected): 1140 meV/atom
E_tot: -0.220 hartree per atom


No. 9
A relaxed LiCuOs2 crystal. Source: Alexandria via LeMat-Bulk, functional PBE-GGA.

Geometry as CIF:
```
data_LiCuOs2
_chemical_formula_sum 'Li2 Cu2 Os4'
_cell_length_a 2.993
_cell_length_b 4.184
_cell_length_c 8.024
_cell_angle_alpha 90.00
_cell_angle_beta 90.00
_cell_angle_gamma 90.00
_space_group_name_H-M_alt 'P 1'
_space_group_IT_number 1
loop_
_space_group_symop_operation_xyz
'x,y,z'
loop_
_atom_site_label
_atom_site_fract_x
_atom_site_fract_y
_atom_site_fract_z
Li1 0.000 0.000 0.000
Li2 0.500 0.500 0.500
Cu1 0.000 0.500 0.281
Cu2 0.500 0.000 0.781
Os1 0.000 0.000 0.518
Os2 0.000 0.500 0.753
Os3 0.500 0.000 0.253
Os4 0.500 0.500 0.018
```

## Properties
Space group: No. 44
Distance to the lowest polymorph of the same formula: 0.128 eV per atom
DFT formation energy: 0.32 eV/atom
E_tot: -0.250 hartree per atom


No. 10
A relaxed Dy2HoZn2Ga2 crystal. Source: Alexandria via LeMat-Bulk, functional PBE-GGA.

Geometry as CIF:
```
data_Dy2HoZn2Ga2
_chemical_formula_sum 'Dy2 Ho1 Zn2 Ga2'
_cell_length_a 9.468
_cell_length_b 9.468
_cell_length_c 9.468
_cell_angle_alpha 27.07
_cell_angle_beta 27.07
_cell_angle_gamma 27.07
_space_group_name_H-M_alt 'P 1'
_space_group_IT_number 1
loop_
_space_group_symop_operation_xyz
'x,y,z'
loop_
_atom_site_label
_atom_site_fract_x
_atom_site_fract_y
_atom_site_fract_z
Dy1 0.126 0.126 0.126
Dy2 0.874 0.874 0.874
Ho1 0.000 0.000 0.000
Zn1 0.397 0.397 0.397
Zn2 0.603 0.603 0.603
Ga1 0.264 0.264 0.264
Ga2 0.736 0.736 0.736
```

## Properties
Space group: No. 166
DFT formation energy: -0.40 eV/atom
E_tot: -0.132 hartree per atom


No. 11
A relaxed OsWS2N crystal. Source: Alexandria via LeMat-Bulk, functional PBE-GGA.

Geometry as CIF:
```
data_OsWS2N
_chemical_formula_sum 'Os1 W1 S2 N1'
_cell_length_a 4.782
_cell_length_b 4.782
_cell_length_c 3.632
_cell_angle_alpha 90.00
_cell_angle_beta 90.00
_cell_angle_gamma 90.00
_space_group_name_H-M_alt 'P 1'
_space_group_IT_number 1
loop_
_space_group_symop_operation_xyz
'x,y,z'
loop_
_atom_site_label
_atom_site_fract_x
_atom_site_fract_y
_atom_site_fract_z
Os1 0.000 0.000 0.000
W1 0.500 0.500 0.500
S1 0.000 0.500 0.000
S2 0.500 0.000 0.000
N1 0.000 0.000 0.500
```

## Properties
Space group: No. 123
Distance to the lowest polymorph of the same formula: 0.000 eV per atom
E_form (uncorrected): 1083 meV/atom
E_tot: -0.260 hartree per atom


No. 12
A relaxed NbPtW3 crystal. Source: Alexandria via LeMat-Bulk, functional PBE-GGA.

Geometry as CIF:
```
data_NbPtW3
_chemical_formula_sum 'Nb1 Pt1 W3'
_cell_length_a 4.700
_cell_length_b 4.700
_cell_length_c 4.700
_cell_angle_alpha 90.00
_cell_angle_beta 90.00
_cell_angle_gamma 90.00
_space_group_name_H-M_alt 'P 1'
_space_group_IT_number 1
loop_
_space_group_symop_operation_xyz
'x,y,z'
loop_
_atom_site_label
_atom_site_fract_x
_atom_site_fract_y
_atom_site_fract_z
Nb1 0.000 0.000 0.000
Pt1 0.500 0.500 0.500
W1 0.000 0.000 0.500
W2 0.000 0.500 0.000
W3 0.500 0.000 0.000
```

## Properties
Space group: No. 221
Distance to the lowest polymorph of the same formula: 0.213 eV per atom
DFT formation energy: 2.26 eV/atom
E_tot: -0.321 hartree per atom